A plane-wave DFT calculation with PBE-GGA was carried out for an optimized crystal structure of La2ZrPt2.

**Space group**: No. 127
**Energy of formation from the pure elements**: -82.3 kJ per mole of atoms
**V**: 24.90 Å³/atom

Cell lengths 7.3900, 7.3900, 4.5592 Å; angles 90.00, 90.00, 90.00 degrees
Positions (direct):
La (0.3322, 0.1678, 0.5000)
La (0.8322, 0.3322, 0.5000)
La (0.6678, 0.8322, 0.5000)
La (0.1678, 0.6678, 0.5000)
Zr (0.0000, 0.0000, 0.0000)
Zr (0.5000, 0.5000, 0.0000)
Pt (0.1426, 0.3574, 0.0000)
Pt (0.6426, 0.1426, 0.0000)
Pt (0.8574, 0.6426, 0.0000)
Pt (0.3574, 0.8574, 0.0000)

A plane-wave DFT calculation with PBE-GGA was carried out for an optimized crystal structure of Pm2YCd2.

**Space group**: No. 11
**Energy of formation from the pure elements**: -25.4 kJ per mole of atoms
**V**: 28.71 Å³/atom

Cell lengths 5.3949, 3.7724, 14.2308 Å; angles 82.38, 90.00, 90.00 degrees
Each line ends with the local moment (μB).
Positions (direct):
Y (0.7500, 0.1492, 0.7026)  0.01
Y (0.2500, 0.8508, 0.2974)  0.01
Pm (0.2500, 0.2338, 0.5307)  0.01
Pm (0.2500, 0.0446, 0.9120)  0.08
Pm (0.7500, 0.9554, 0.0880)  0.08
Pm (0.7500, 0.7662, 0.4693)  0.01
Cd (0.2500, 0.4439, 0.1114)  0.00
Cd (0.2500, 0.6390, 0.7219)  0.00
Cd (0.7500, 0.3610, 0.2781)  0.00
Cd (0.7500, 0.5561, 0.8886)  0.00